CrFe2P | PBEsol | relaxed

Structure (POSCAR):
```
CrFe2P
1.0
4.030 -1.344 0.000
4.030 1.344 0.000
-1.161 0.000 3.837
Cr Fe P
1 2 1
Cartesian
0.000 0.000 0.000
1.044 0.000 3.261
3.277 0.000 1.839
5.601 0.000 1.380
```

DFT formation energy ... -204 meV per atom
Calculated total energy ... -34.78 eV/cell
Space-group type ... Cm, No. 8